VASP calculation (SCAN) on K2TlGe at its PBEsol-relaxed geometry.

The structure in extended XYZ format:
```
4
Lattice="5.6502 0.0000 0.0000 2.8251 4.8932 0.0000 2.8251 1.6311 4.6134" Properties=species:S:1:pos:R:3 pbc="T T T"
Tl 5.6502 3.2621 2.3067
Ge 0.0000 0.0000 0.0000
K 8.4753 4.8932 3.4600
K 2.8251 1.6311 1.1533
```

## Properties
formation enthalpy at 0 K: 0.11 eV per atom
Fermi-level density of states: 2.6 states/eV per cell

***

VASP calculation (SCAN) on KTl2Ge at its PBEsol-relaxed geometry.

The structure in extended XYZ format:
```
4
Lattice="5.3459 0.0000 0.0000 2.6730 4.6297 0.0000 2.6730 1.5432 4.3649" Properties=species:S:1:pos:R:3 pbc="T T T"
Ge 5.3459 3.0865 2.1825
K 0.0000 0.0000 0.0000
Tl 8.0189 4.6297 3.2737
Tl 2.6730 1.5432 1.0912
```

## Properties
formation enthalpy at 0 K: 0.03 eV per atom
Fermi-level density of states: 2.3 states/eV per cell

***

VASP calculation (SCAN) on K3TlGe at its PBEsol-relaxed geometry.

The structure in extended XYZ format:
```
5
Lattice="6.3888 0.0000 0.0000 0.0000 6.3888 0.0000 0.0000 0.0000 6.3888" Properties=species:S:1:pos:R:3 pbc="T T T"
Tl 3.1944 3.1944 3.1944
K 0.0000 3.1944 0.0000
K 0.0000 0.0000 3.1944
K 3.1944 0.0000 0.0000
Ge 0.0000 0.0000 0.0000
```

## Properties
formation enthalpy at 0 K: 0.25 eV per atom
E above lowest polymorph: 0.0000 eV/atom
Fermi-level density of states: 2.8 states/eV per cell

***

VASP calculation (SCAN) on KY3Ge at its PBEsol-relaxed geometry.

The structure in extended XYZ format:
```
5
Lattice="5.5953 0.0000 0.0000 0.0000 5.5953 0.0000 0.0000 0.0000 5.5953" Properties=species:S:1:pos:R:3 pbc="T T T"
Y 0.0000 2.7976 0.0000
Y 2.7976 0.0000 0.0000
Y 0.0000 0.0000 2.7976
K 2.7976 2.7976 2.7976
Ge 0.0000 0.0000 0.0000
```

## Properties
formation enthalpy at 0 K: 0.02 eV per atom
Fermi-level density of states: 6.6 states/eV per cell

***

VASP calculation (SCAN) on K2YGe2 at its PBEsol-relaxed geometry.

The structure in extended XYZ format:
```
5
Lattice="-4.1408 -0.8961 0.0518 0.0923 -0.6685 -4.1829 3.5797 -6.3374 3.2376" Properties=species:S:1:pos:R:3 pbc="T T T"
K 0.8239 -3.8941 -1.5054
K -1.2927 -4.0079 0.6120
Ge 1.3014 -5.9570 0.9807
Ge -1.7702 -1.9450 -1.8741
Y 0.0000 0.0000 0.0000
```

## Properties
formation enthalpy at 0 K: -0.12 eV per atom
Fermi-level density of states: 1.7 states/eV per cell

***

VASP calculation (SCAN) on KZn2Ge2 at its PBEsol-relaxed geometry.

The structure in extended XYZ format:
```
5
Lattice="4.2400 0.0000 0.0000 0.0000 4.2400 0.0000 -2.1200 -2.1200 5.6429" Properties=species:S:1:pos:R:3 pbc="T T T"
Zn 2.1200 2.1200 1.2535
Zn 0.0000 0.0000 4.3894
K 0.0000 0.0000 0.0000
Ge 2.1200 0.0000 2.8214
Ge 0.0000 2.1200 2.8214
```

## Properties
formation enthalpy at 0 K: -0.04 eV per atom
Fermi-level density of states: 1.9 states/eV per cell